Computed, not measured: an optimized crystal structure of PrHo2Cd6 at the PBE level of DFT.

Properties
**Calculated total energy**: -22.3 eV for the cell shown
**Formation energy from the elements**: -0.317 eV per atom

a b c (Å): 8.6909 8.6909 3.4349
angles (deg): 90.00 90.00 120.00
With the nearest neighbours (Å) after each atom.
Space group P6/mmm (No. 191)
Asymmetric unit:
Pr (0.0000, 0.0000, 0.0000) (multiplicity 1)  12 Cd 3.39, 2 Pr 3.43
Ho (0.3333, 0.6667, 0.0000) (multiplicity 2)  12 Cd 3.35, 2 Ho 3.43
Cd (0.0000, 0.3369, 0.5000) (multiplicity 6)  3 Cd 2.84-2.93